Entry 1:
VASP calculation (GGA-PBE) on LiCd6Ni after structural relaxation.

The structure in POSCAR format:
```
LiCd6Ni
1.0
5.346 0.000 0.000
0.000 11.038 0.000
-0.028 0.000 5.613
Li Cd Ni
2 12 2
Cartesian
0.000 0.000 0.000
2.673 5.519 0.000
0.296 5.519 1.425
0.793 2.188 1.433
0.793 8.850 1.433
1.853 3.331 4.180
1.853 7.707 4.180
2.349 0.000 4.189
2.970 0.000 1.425
3.466 3.331 1.433
3.466 7.707 1.433
4.526 2.188 4.180
4.526 8.850 4.180
5.022 5.519 4.189
-0.014 0.000 2.807
2.659 5.519 2.807
```

Computed properties:
calculated volume = 20.70 Å³ per atom
space-group type = No. 12
ΔH_f (0 K) = 4 kJ per mole of atoms
Fermi-level density of states = 6.15 states/eV/cell

***

Entry 2:
VASP calculation (GGA-PBE) on LiCdNi2 after structural relaxation.

The structure in POSCAR format:
```
LiCdNi2
1.0
2.902 0.000 0.000
0.000 4.376 0.000
0.000 0.000 8.753
Li Cd Ni
2 2 4
Cartesian
0.000 0.000 0.000
1.451 2.188 4.377
0.000 2.188 2.005
1.451 0.000 6.382
0.000 0.000 4.106
0.000 2.188 6.566
1.451 0.000 2.190
1.451 2.188 8.483
```

Computed properties:
calculated volume = 13.89 Å³ per atom
space-group type = No. 44
ΔH_f (0 K) = 5 kJ per mole of atoms
Fermi-level density of states = 7.56 states/eV/cell

***

Entry 3:
VASP calculation (GGA-PBE) on LiCdNi2 after structural relaxation.

The structure in POSCAR format:
```
LiCdNi2
1.0
3.668 0.000 0.000
0.000 3.720 0.000
0.000 0.000 7.856
Li Cd Ni
2 2 4
Cartesian
0.000 0.000 0.000
1.834 1.860 3.928
0.000 0.000 3.928
1.834 1.860 0.000
0.000 1.860 1.971
0.000 1.860 5.886
1.834 0.000 1.958
1.834 0.000 5.899
```

Computed properties:
calculated volume = 13.40 Å³ per atom
space-group type = No. 71
ΔH_f (0 K) = 2 kJ per mole of atoms
Fermi-level density of states = 7.19 states/eV/cell

***

Entry 4:
VASP calculation (GGA-PBE) on Li2CdNi after structural relaxation.

The structure in POSCAR format:
```
Li2CdNi
1.0
2.873 0.000 0.000
-1.436 2.488 0.000
0.000 0.000 27.333
Li Cd Ni
6 3 3
Cartesian
0.000 0.000 0.000
0.000 0.000 6.531
0.000 1.659 18.222
0.000 1.659 24.754
1.436 0.829 9.111
1.436 0.829 15.643
0.000 0.000 13.256
0.000 1.659 4.145
1.436 0.829 22.367
0.000 0.000 20.154
0.000 1.659 11.043
1.436 0.829 1.932
```

Computed properties:
calculated volume = 16.28 Å³ per atom
space-group type = No. 160
ΔH_f (0 K) = 6 kJ per mole of atoms
Fermi-level density of states = 4.97 states/eV/cell

***

Entry 5:
VASP calculation (GGA-PBE) on Li2CdNi after structural relaxation.

The structure in POSCAR format:
```
Li2CdNi
1.0
3.131 0.000 0.000
0.000 3.131 0.000
0.000 0.000 6.271
Li Cd Ni
2 1 1
Cartesian
0.000 0.000 0.000
1.565 1.565 1.655
1.565 1.565 4.471
0.000 0.000 2.905
```

Computed properties:
calculated volume = 15.37 Å³ per atom
space-group type = No. 99
ΔH_f (0 K) = -2 kJ per mole of atoms
Fermi-level density of states = 1.86 states/eV/cell

***

Entry 6:
VASP calculation (GGA-PBE) on Li6Cd2Ni after structural relaxation.

The structure in POSCAR format:
```
Li6Cd2Ni
1.0
3.702 -7.165 0.000
3.702 7.165 0.000
-0.441 0.000 2.950
Li Cd Ni
6 2 1
Cartesian
2.189 4.726 1.900
1.123 0.000 2.589
4.773 4.726 1.051
2.189 -4.726 1.900
5.839 0.000 0.362
4.773 -4.726 1.051
3.702 2.228 0.000
3.702 -2.228 0.000
3.481 0.000 1.475
```

Computed properties:
calculated volume = 17.39 Å³ per atom
space-group type = No. 12
ΔH_f (0 K) = -7 kJ per mole of atoms
Fermi-level density of states = 5.09 states/eV/cell

***

Entry 7:
VASP calculation (GGA-PBE) on Li3Cd6Ni after structural relaxation.

The structure in POSCAR format:
```
Li3Cd6Ni
1.0
7.914 0.000 0.000
0.000 4.767 0.000
-3.822 0.000 9.851
Li Cd Ni
6 12 2
Cartesian
-0.076 1.192 2.256
2.268 1.192 0.207
1.119 3.575 3.722
2.974 1.192 6.129
1.825 3.575 9.644
4.169 3.575 7.594
-2.203 1.192 6.901
0.489 3.575 0.735
0.084 1.192 5.042
-1.047 3.575 8.378
1.369 3.575 6.508
3.302 3.575 1.592
0.790 1.192 8.258
2.724 1.192 3.343
5.140 1.192 1.473
4.008 3.575 4.809
3.604 1.192 9.116
6.296 3.575 2.949
-1.334 3.575 5.617
5.427 1.192 4.233
```

Computed properties:
calculated volume = 18.58 Å³ per atom
space-group type = No. 11
ΔH_f (0 K) = -14 kJ per mole of atoms
Fermi-level density of states = 8.65 states/eV/cell

***

Entry 8:
VASP calculation (GGA-PBE) on Li2CdNi after structural relaxation.

The structure in POSCAR format:
```
Li2CdNi
1.0
5.324 0.000 0.000
0.000 9.083 0.000
-1.238 0.000 2.514
Li Cd Ni
4 2 2
Cartesian
1.331 2.271 0.000
1.331 6.812 0.000
3.993 2.271 0.000
3.993 6.812 0.000
-0.619 0.000 1.257
2.043 4.541 1.257
-0.619 4.541 1.257
2.043 0.000 1.257
```

Computed properties:
calculated volume = 15.20 Å³ per atom
space-group type = No. 12
ΔH_f (0 K) = -2 kJ per mole of atoms
Fermi-level density of states = 3.06 states/eV/cell